Record 1
SrIr2Rh, optimized geometry, DFT GGA-PBE; E above lowest polymorph = 156.5 meV/atom; total magnetization = 0.00 Bohr magnetons per cell; density of states at the Fermi level = 3.9 states/eV/cell
1.0
-3.6260 0.5332 -3.5689
1.3038 -4.9041 0.6474
-2.0097 -0.2701 2.0015
Ir Rh Sr
2 1 1
Cartesian
0.0000 0.0000 0.0000
-1.1611 -2.1854 -1.4607
-2.8178 0.1316 -0.7837
-0.3529 -2.5871 1.3244

***

Record 2
CaCuRu3, optimized geometry, DFT GGA-PBE; E above lowest polymorph = 1301.5 meV/atom; total magnetization = 0.09 Bohr magnetons per cell; density of states at the Fermi level = 21.5 states/eV/cell
1.0
-2.7734 -3.4739 -1.2456
3.2432 -3.0378 1.2512
-1.7612 -0.1234 4.2655
Ru Ca Cu
3 1 1
Cartesian
1.6216 -1.5189 0.6256
-0.8806 -0.0617 2.1328
-1.3867 -1.7370 -0.6228
0.0000 0.0000 0.0000
-0.6457 -3.3176 2.1355

***

Record 3
VCdAg3, optimized geometry, DFT GGA-PBE; E above lowest polymorph = 8.5 meV/atom; total magnetization = 3.74 Bohr magnetons per cell; density of states at the Fermi level = 7.1 states/eV/cell
1.0
5.0812 0.0000 0.0000
0.0000 5.0812 0.0000
0.0000 0.0000 5.0812
Cd Ag V
1 3 1
Cartesian
0.0000 0.0000 0.0000
0.0000 2.5406 0.0000
0.0000 0.0000 2.5406
2.5406 0.0000 0.0000
2.5406 2.5406 2.5406

***

Calculated E (hartree per atom), listed in the same order as above: -0.2330; -0.1582; -0.0971